Material: Dy3ZrS6
Method: DFT, GGA-PBE
State: optimized geometry

Unit cell a=7.9159 b=7.9159 c=7.9159 alpha=92.15 beta=92.15 gamma=92.15
Positions (direct):
Dy 0.4225 0.9143 0.7463
Dy 0.9143 0.7463 0.4225
Dy 0.2537 0.5775 0.0857
Dy 0.7463 0.4225 0.9143
Dy 0.0857 0.2537 0.5775
Dy 0.5775 0.0857 0.2537
Zr 0.0000 0.0000 0.0000
Zr 0.5000 0.5000 0.5000
S 0.3102 0.9233 0.0808
S 0.0767 0.9192 0.6898
S 0.5850 0.8120 0.4540
S 0.9192 0.6898 0.0767
S 0.4540 0.5850 0.8120
S 0.1880 0.5460 0.4150
S 0.8120 0.4540 0.5850
S 0.5460 0.4150 0.1880
S 0.0808 0.3102 0.9233
S 0.4150 0.1880 0.5460
S 0.9233 0.0808 0.3102
S 0.6898 0.0767 0.9192

Space-group type ... R-3
ΔE_f (raw) ... -18.782 eV per formula unit
Magnetic moment ... 0.07 μB per atom
VASP energy ... -6.590 eV/atom